Entry 1:
Here is a geometry-optimized HoTm2Ga structure from the Open Quantum Materials Database. Energies are from PBE.

Calculated values
The calculation puts the energy above the most stable polymorph in this dataset at 0.0000 eV per atom. The size of the total moment comes out at 1.2 μB/cell. As for the electronic total energy: -4.395 eV/atom.

abc: 4.811 10.464 8.374
angles: 90.00 90.00 90.00
Space group Ama2 (No. 40)
Unique sites:
Ho (0.250, 0.113, 0.000) x4
Tm (0.250, 0.113, 0.592) x4
Tm (0.250, 0.381, 0.797) x4
Ga (0.250, 0.323, 0.295) x4



Entry 2:
Here is a geometry-optimized HfMgB structure from the Open Quantum Materials Database. Energies are from PBE.

Calculated values
The size of the total moment comes out at 0.0 μB/cell. As for the electronic total energy: -6.065 eV/atom.

abc: 5.728 5.728 5.728
angles: 90.00 90.00 90.00
Space group F-43m (No. 216)
Unique sites:
Hf (0.000, 0.000, 0.000) x4
Mg (0.000, 0.000, 0.500) x4
B (0.250, 0.250, 0.250) x4



Entry 3:
Here is a geometry-optimized TaAuNO structure from the Open Quantum Materials Database. Energies are from PBE.

Calculated values
The calculation puts the energy above the most stable polymorph in this dataset at 0.1888 eV per atom. The size of the total moment comes out at 0.0 μB/cell. As for the electronic total energy: -7.820 eV/atom.

abc: 3.371 5.833 6.175
angles: 90.00 90.00 90.00
Space group Pmc2_1 (No. 26)
Unique sites:
Ta (0.000, 0.162, 0.000) x2
Au (0.500, 0.241, 0.436) x2
N (0.000, 0.105, 0.685) x2
O (0.500, 0.338, 0.993) x2



Entry 4:
Here is a geometry-optimized MgZn2Pt2 structure from the Open Quantum Materials Database. Energies are from PBE.

Calculated values
The size of the total moment comes out at 0.0 μB/cell. As for the electronic total energy: -3.834 eV/atom.

abc: 7.381 7.381 2.885
angles: 90.00 90.00 90.00
Space group P4/mbm (No. 127)
Unique sites:
Mg (0.000, 0.000, 0.000) x2
Zn (0.123, 0.377, 0.000) x4
Pt (0.176, 0.676, 0.500) x4



Entry 5:
Here is a geometry-optimized ScTcB structure from the Open Quantum Materials Database. Energies are from PBE.

Calculated values
The calculation puts the energy above the most stable polymorph in this dataset at 1.5180 eV per atom. The size of the total moment comes out at 1.7 μB/cell. As for the electronic total energy: -6.442 eV/atom.

abc: 5.775 5.775 5.775
angles: 90.00 90.00 90.00
Space group F-43m (No. 216)
Unique sites:
Sc (0.000, 0.000, 0.000) x4
Tc (0.250, 0.250, 0.250) x4
B (0.250, 0.250, 0.750) x4



Entry 6:
Here is a geometry-optimized LaNdB2Pd6Pt2 structure from the Open Quantum Materials Database. Energies are from PBE.

Calculated values
The calculation puts the energy above the most stable polymorph in this dataset at 0.0188 eV per atom. The size of the total moment comes out at 0.0 μB/cell. As for the electronic total energy: -6.173 eV/atom.

abc: 5.4951 5.4951 7.6766
angles: 90.00 90.00 120.00
Space group P6/mmm (No. 191)
Unique sites:
La (0.0000, 0.0000, 0.0000) x1
Nd (0.0000, 0.0000, 0.5000) x1
B (0.3333, 0.6667, 0.0000) x2
Pd (0.0000, 0.5000, 0.1972) x6
Pt (0.3333, 0.6667, 0.5000) x2



Entry 7:
Here is a geometry-optimized Rb2TlCuF6 structure from the Open Quantum Materials Database. Energies are from PBE.

Calculated values
The calculation puts the energy above the most stable polymorph in this dataset at 0.0001 eV per atom. As for the electronic total energy: -4.034 eV/atom.

abc: 8.577 8.577 8.577
angles: 90.00 90.00 90.00
Space group Fm-3m (No. 225)
Unique sites:
Rb (0.250, 0.250, 0.250) x8
Tl (0.000, 0.000, 0.000) x4
Cu (0.000, 0.000, 0.500) x4
F (0.000, 0.000, 0.265) x24



Entry 8:
Here is a geometry-optimized PmGeAsO structure from the Open Quantum Materials Database. Energies are from PBE.

Calculated values
The calculation puts the energy above the most stable polymorph in this dataset at 0.1606 eV per atom. The size of the total moment comes out at 0.0 μB/cell. As for the electronic total energy: -6.056 eV/atom.

abc: 4.448 5.503 6.472
angles: 90.00 90.00 90.00
Space group Pmc2_1 (No. 26)
Unique sites:
Pm (0.000, 0.237, 0.000) x2
Ge (0.500, 0.355, 0.369) x2
As (0.500, 0.090, 0.701) x2
O (0.000, 0.401, 0.324) x2